[1]
The following is a PBE calculation of crystalline CaTaOs2Pd at its relaxed geometry, from Alexandria via LeMat-Bulk.

Cell: 4.8126 4.6116 4.8126 Å, 90.00 90.00 90.00°
Fractional positions:
Ca: 0.0000 0.5000 0.0000
Os: 0.0000 0.0000 0.5000
Os: 0.5000 0.0000 0.0000
Pd: 0.0000 0.0000 0.0000
Ta: 0.5000 0.5000 0.5000

Calculated formation energy ... 905 kJ/mol of formula units
Space-group type ... No. 123

[2]
The following is a PBE calculation of crystalline CaTcOsPd2 at its relaxed geometry, from Alexandria via LeMat-Bulk.

Cell: 4.8368 5.1650 4.8368 Å, 90.00 90.00 90.00°
Last column: magnetic moment on the atom in μB.
Fractional positions:
Ca: 0.0000 0.5000 0.0000  -0.01
Os: 0.0000 0.0000 0.0000  0.17
Tc: 0.5000 0.5000 0.5000  3.34
Pd: 0.0000 0.0000 0.5000  -0.03
Pd: 0.5000 0.0000 0.0000  0.02

Calculated formation energy ... 725 kJ/mol of formula units
Space-group type ... No. 123

[3]
The following is a PBE calculation of crystalline CaThOsPd at its relaxed geometry, from Alexandria via LeMat-Bulk.

Cell: 4.9744 4.9744 4.9744 Å, 60.00 60.00 60.00°
Fractional positions:
Ca: 0.7500 0.7500 0.7500
Os: 0.5000 0.5000 0.5000
Pd: 0.0000 0.0000 0.0000
Th: 0.2500 0.2500 0.2500

Calculated formation energy ... -122 kJ/mol of formula units
Space-group type ... No. 216

[4]
The following is a PBE calculation of crystalline CaPm2Os at its relaxed geometry, from Alexandria via LeMat-Bulk.

Cell: 6.5012 7.5565 9.3620 Å, 90.00 90.00 90.00°
Fractional positions:
Ca: 0.6319 0.5419 0.2500
Ca: 0.8681 0.0419 0.2500
Ca: 0.3681 0.4581 0.7500
Ca: 0.1319 0.9581 0.7500
Pm: 0.1682 0.6726 0.0635
Pm: 0.3318 0.1726 0.4365
Pm: 0.8318 0.3274 0.5635
Pm: 0.6682 0.8274 0.9365
Pm: 0.8318 0.3274 0.9365
Pm: 0.6682 0.8274 0.5635
Pm: 0.1682 0.6726 0.4365
Pm: 0.3318 0.1726 0.0635
Os: 0.0629 0.3942 0.2500
Os: 0.4371 0.8942 0.2500
Os: 0.9371 0.6058 0.7500
Os: 0.5629 0.1058 0.7500

Calculated formation energy ... -18 kJ/mol of formula units
Space-group type ... No. 62

[5]
The following is a PBE calculation of crystalline Ca2Pm5Os2 at its relaxed geometry, from Alexandria via LeMat-Bulk.

Cell: 7.8570 7.8815 10.3897 Å, 90.00 67.78 90.00°
Fractional positions:
Ca: 0.2285 0.0000 0.5431
Ca: 0.7285 0.5000 0.5431
Ca: 0.7715 0.0000 0.4569
Ca: 0.2715 0.5000 0.4569
Pm: 0.0000 0.0000 0.0000
Pm: 0.5000 0.5000 0.0000
Pm: 0.4329 0.1620 0.8106
Pm: 0.7566 0.8380 0.8106
Pm: 0.2566 0.6620 0.8106
Pm: 0.9329 0.3380 0.8106
Pm: 0.5671 0.8380 0.1894
Pm: 0.2434 0.1620 0.1894
Pm: 0.7434 0.3380 0.1894
Pm: 0.0671 0.6620 0.1894
Os: 0.1396 0.3602 0.0000
Os: 0.8604 0.6398 0.0000
Os: 0.3604 0.8602 0.0000
Os: 0.6396 0.1398 0.0000

Calculated formation energy ... -31 kJ/mol of formula units
Space-group type ... No. 64

[6]
The following is a PBE calculation of crystalline CaPm2Os at its relaxed geometry, from Alexandria via LeMat-Bulk.

Cell: 4.0300 4.0300 11.0320 Å, 79.48 79.48 60.00°
Fractional positions:
Ca: 0.0000 0.0000 0.0000
Os: 0.5000 0.5000 0.5000
Pm: 0.1187 0.1187 0.6440
Pm: 0.8813 0.8813 0.3560

Calculated formation energy ... 79 kJ/mol of formula units
Space-group type ... No. 166

[7]
The following is a PBE calculation of crystalline CaPm3Os at its relaxed geometry, from Alexandria via LeMat-Bulk.

Cell: 3.9070 9.2510 9.0723 Å, 103.94 90.00 90.00°
Fractional positions:
Ca: 0.7500 0.3194 0.4839
Ca: 0.2500 0.6806 0.5161
Pm: 0.7500 0.5250 0.1623
Pm: 0.2500 0.1666 0.0994
Pm: 0.7500 0.9170 0.3014
Pm: 0.2500 0.4750 0.8377
Pm: 0.2500 0.0830 0.6986
Pm: 0.7500 0.8334 0.9006
Os: 0.2500 0.7433 0.0982
Os: 0.7500 0.2567 0.9018

Calculated formation energy ... -33 kJ/mol of formula units
Space-group type ... No. 11

[8]
The following is a PBE calculation of crystalline CaPm3Os at its relaxed geometry, from Alexandria via LeMat-Bulk.

Cell: 5.6106 5.6106 5.6106 Å, 90.00 90.00 90.00°
Fractional positions:
Ca: 0.5000 0.5000 0.5000
Os: 0.0000 0.0000 0.0000
Pm: 0.0000 0.5000 0.0000
Pm: 0.0000 0.0000 0.5000
Pm: 0.5000 0.0000 0.0000

Calculated formation energy ... -3 kJ/mol of formula units
Space-group type ... No. 221

[9]
The following is a PBE calculation of crystalline CaPm2Os at its relaxed geometry, from Alexandria via LeMat-Bulk.

Cell: 3.4960 3.4960 10.0020 Å, 90.00 90.00 90.00°
Fractional positions:
Ca: 0.5000 0.5000 0.5000
Os: 0.5000 0.5000 0.0000
Pm: 0.0000 0.0000 0.8299
Pm: 0.0000 0.0000 0.1701

Calculated formation energy ... -9 kJ/mol of formula units
Space-group type ... No. 123

[10]
The following is a PBE calculation of crystalline CaPmPrOs at its relaxed geometry, from Alexandria via LeMat-Bulk.

Cell: 5.2597 5.2597 5.2597 Å, 60.00 60.00 60.00°
Fractional positions:
Pr: 0.0000 0.0000 0.0000
Ca: 0.7500 0.7500 0.7500
Os: 0.2500 0.2500 0.2500
Pm: 0.5000 0.5000 0.5000

Calculated formation energy ... 78 kJ/mol of formula units
Space-group type ... No. 216

[11]
The following is a PBE calculation of crystalline CaPmYOs at its relaxed geometry, from Alexandria via LeMat-Bulk.

Cell: 5.1824 5.1824 5.1824 Å, 60.00 60.00 60.00°
Fractional positions:
Y: 0.2500 0.2500 0.2500
Ca: 0.5000 0.5000 0.5000
Os: 0.0000 0.0000 0.0000
Pm: 0.7500 0.7500 0.7500

Calculated formation energy ... 54 kJ/mol of formula units
Space-group type ... No. 216

[12]
The following is a PBE calculation of crystalline CaPmZnOs at its relaxed geometry, from Alexandria via LeMat-Bulk.

Cell: 4.9888 4.9888 4.9888 Å, 60.00 60.00 60.00°
Fractional positions:
Zn: 0.2500 0.2500 0.2500
Os: 0.7500 0.7500 0.7500
Ca: 0.0000 0.0000 0.0000
Pm: 0.5000 0.5000 0.5000

Calculated formation energy ... 16 kJ/mol of formula units
Space-group type ... No. 216

Number 1: raw total energy -32.13 eV per cell. Number 2: raw total energy -26.47 eV per cell. Number 3: raw total energy -27.11 eV per cell. Number 4: raw total energy -91.66 eV per cell. Number 5: raw total energy -101.08 eV per cell. Number 6: raw total energy -21.92 eV per cell. Number 7: raw total energy -55.65 eV per cell. Number 8: raw total energy -27.51 eV per cell. Number 9: raw total energy -22.83 eV per cell. Number 10: raw total energy -21.95 eV per cell. Number 11: raw total energy -23.88 eV per cell. Number 12: raw total energy -19.09 eV per cell.